1.
A relaxed structure of VGaTc2. Source: the Alexandria database, functional PBEsol.

CIF file:
```
data_VGaTc2
_symmetry_space_group_name_H-M 'F m -3 m'
_symmetry_Int_Tables_number 225
_symmetry_space_group_name_Hall '-F 4 2 3'
_cell_length_a 6.0061
_cell_length_b 6.0061
_cell_length_c 6.0061
_cell_angle_alpha 90.00
_cell_angle_beta 90.00
_cell_angle_gamma 90.00
loop_
_atom_site_label
_atom_site_type_symbol
_atom_site_fract_x
_atom_site_fract_y
_atom_site_fract_z
V1 V 0.0000 0.0000 0.0000
Ga1 Ga 0.0000 0.0000 0.5000
Tc1 Tc 0.2500 0.2500 0.2500
```

Computed properties:
calculated formation energy = -234.3 meV per atom

---

2.
A relaxed structure of YNbInMo2. Source: the Alexandria database, functional PBEsol.

CIF file:
```
data_YNbInMo2
_symmetry_space_group_name_H-M 'P 4/m m m'
_symmetry_Int_Tables_number 123
_symmetry_space_group_name_Hall '-P 4 2'
_cell_length_a 4.7146
_cell_length_b 4.7146
_cell_length_c 5.2555
_cell_angle_alpha 90.00
_cell_angle_beta 90.00
_cell_angle_gamma 90.00
loop_
_atom_site_label
_atom_site_type_symbol
_atom_site_fract_x
_atom_site_fract_y
_atom_site_fract_z
Y1 Y 0.0000 0.0000 0.0000
Nb1 Nb 0.5000 0.5000 0.5000
In1 In 0.5000 0.5000 0.0000
Mo1 Mo 0.0000 0.5000 0.5000
```

Computed properties:
calculated formation energy = 1079.3 meV per atom

---

3.
A relaxed structure of Zn2FeNi. Source: the Alexandria database, functional PBEsol.

CIF file:
```
data_Zn2FeNi
_symmetry_space_group_name_H-M 'P m m m'
_symmetry_Int_Tables_number 47
_symmetry_space_group_name_Hall '-P 2 2'
_cell_length_a 2.5985
_cell_length_b 3.4396
_cell_length_c 5.2740
_cell_angle_alpha 90.00
_cell_angle_beta 90.00
_cell_angle_gamma 90.00
loop_
_atom_site_label
_atom_site_type_symbol
_atom_site_fract_x
_atom_site_fract_y
_atom_site_fract_z
Zn1 Zn 0.0000 0.0000 0.2442
Fe1 Fe 0.5000 0.5000 0.5000
Ni1 Ni 0.5000 0.5000 0.0000
```

Computed properties:
calculated formation energy = -65.4 meV per atom

---

4.
A relaxed structure of BaSc3Si. Source: the Alexandria database, functional PBEsol.

CIF file:
```
data_BaSc3Si
_symmetry_space_group_name_H-M 'P m -3 m'
_symmetry_Int_Tables_number 221
_symmetry_space_group_name_Hall '-P 4 2 3'
_cell_length_a 5.1430
_cell_length_b 5.1430
_cell_length_c 5.1430
_cell_angle_alpha 90.00
_cell_angle_beta 90.00
_cell_angle_gamma 90.00
loop_
_atom_site_label
_atom_site_type_symbol
_atom_site_fract_x
_atom_site_fract_y
_atom_site_fract_z
Ba1 Ba 0.0000 0.0000 0.0000
Sc1 Sc 0.0000 0.0000 0.5000
Si1 Si 0.5000 0.5000 0.5000
```

Computed properties:
E_form (uncorrected) = 1.3773 eV/atom

---

5.
A relaxed structure of RbAgS2Cl. Source: the Alexandria database, functional PBEsol.

CIF file:
```
data_RbAgS2Cl
_symmetry_space_group_name_H-M 'P 4/m m m'
_symmetry_Int_Tables_number 123
_symmetry_space_group_name_Hall '-P 4 2'
_cell_length_a 4.7923
_cell_length_b 4.7923
_cell_length_c 5.3040
_cell_angle_alpha 90.00
_cell_angle_beta 90.00
_cell_angle_gamma 90.00
loop_
_atom_site_label
_atom_site_type_symbol
_atom_site_fract_x
_atom_site_fract_y
_atom_site_fract_z
Rb1 Rb 0.0000 0.0000 0.0000
Ag1 Ag 0.5000 0.5000 0.5000
S1 S 0.0000 0.5000 0.5000
Cl1 Cl 0.5000 0.5000 0.0000
```

Computed properties:
E_form (uncorrected) = -0.2586 eV/atom

---

6.
A relaxed structure of Mn3V2Cr3O16. Source: the Alexandria database, functional PBEsol.

CIF file:
```
data_Mn3V2Cr3O16
_symmetry_space_group_name_H-M 'C 1 m 1'
_symmetry_Int_Tables_number 8
_symmetry_space_group_name_Hall 'C -2y'
_cell_length_a 9.8793
_cell_length_b 5.7034
_cell_length_c 8.6979
_cell_angle_alpha 90.00
_cell_angle_beta 90.20
_cell_angle_gamma 90.00
loop_
_atom_site_label
_atom_site_type_symbol
_atom_site_fract_x
_atom_site_fract_y
_atom_site_fract_z
Mn1 Mn 0.0000 0.0000 0.0000
Mn2 Mn 0.0848 0.2537 0.4986
V1 V 0.0030 0.5000 0.2126
V2 V 0.3349 0.5000 0.7135
Cr1 Cr 0.2553 0.2542 0.9983
Cr2 Cr 0.3377 0.0000 0.4994
O1 O 0.9998 0.0000 0.6140
O2 O 0.0069 0.5000 0.6120
O3 O 0.0843 0.2610 0.1136
O4 O 0.1501 0.5000 0.3757
O5 O 0.1670 0.0000 0.3960
O6 O 0.1699 0.0000 0.9028
O7 O 0.1953 0.5000 0.8684
O8 O 0.2578 0.2582 0.6125
O9 O 0.3394 0.5000 0.1138
O10 O 0.3445 0.0000 0.1134
O11 O 0.4116 0.2843 0.8736
O12 O 0.4335 0.2171 0.3736
```

Computed properties:
E_form (uncorrected) = -1.8696 eV/atom

---

7.
A relaxed structure of Ca3Al2H6SO8F8. Source: the Alexandria database, functional PBEsol.

CIF file:
```
data_Ca3Al2H6SO8F8
_symmetry_space_group_name_H-M 'C 1 2/c 1'
_symmetry_Int_Tables_number 15
_symmetry_space_group_name_Hall '-C 2yc'
_cell_length_a 13.9732
_cell_length_b 8.5775
_cell_length_c 9.8722
_cell_angle_alpha 90.00
_cell_angle_beta 93.40
_cell_angle_gamma 90.00
loop_
_atom_site_label
_atom_site_type_symbol
_atom_site_fract_x
_atom_site_fract_y
_atom_site_fract_z
Ca1 Ca 0.0000 0.0339 0.2500
Ca2 Ca 0.2454 0.2186 0.1925
Al1 Al 0.2012 0.1018 0.5135
H1 H 0.0545 0.3692 0.1279
H2 H 0.0661 0.2399 0.0154
H3 H 0.1301 0.3647 0.5782
S1 S 0.0000 0.3443 0.7500
O1 O 0.0387 0.4433 0.6433
O2 O 0.0742 0.2581 0.1142
O3 O 0.0768 0.2415 0.8138
O4 O 0.1927 0.3114 0.5669
F1 F 0.0898 0.0485 0.5794
F2 F 0.1387 0.1223 0.3473
F3 F 0.2328 0.0996 0.9752
F4 F 0.2356 0.4427 0.3198
```

Computed properties:
total DFT energy (no corrections) = -670.72 eV per cell

---

8.
A relaxed structure of CrTcSb2. Source: the Alexandria database, functional PBEsol.

CIF file:
```
data_CrTcSb2
_symmetry_space_group_name_H-M 'I -4 2 d'
_symmetry_Int_Tables_number 122
_symmetry_space_group_name_Hall 'I -4 2bw'
_cell_length_a 6.2493
_cell_length_b 6.2493
_cell_length_c 11.0291
_cell_angle_alpha 90.00
_cell_angle_beta 90.00
_cell_angle_gamma 90.00
loop_
_atom_site_label
_atom_site_type_symbol
_atom_site_fract_x
_atom_site_fract_y
_atom_site_fract_z
Cr1 Cr 0.0000 0.0000 0.0000
Tc1 Tc 0.0000 0.0000 0.5000
Sb1 Sb 0.2329 0.7500 0.6250
```

Computed properties:
E_form (uncorrected) = 0.9256 eV/atom
offset from the most stable computed form = 645.2 meV/atom

---

9.
A relaxed structure of TcW. Source: the Alexandria database, functional PBEsol.

CIF file:
```
data_TcW
_symmetry_space_group_name_H-M 'P 1 21/m 1'
_symmetry_Int_Tables_number 11
_symmetry_space_group_name_Hall '-P 2yb'
_cell_length_a 2.7151
_cell_length_b 4.3698
_cell_length_c 5.1328
_cell_angle_alpha 90.00
_cell_angle_beta 101.14
_cell_angle_gamma 90.00
loop_
_atom_site_label
_atom_site_type_symbol
_atom_site_fract_x
_atom_site_fract_y
_atom_site_fract_z
Tc1 Tc 0.1565 0.2500 0.3681
W1 W 0.3859 0.7500 0.1320
```

Computed properties:
calculated formation energy = 108.8 meV per atom
offset from the most stable computed form = 29.9 meV/atom

---

10.
A relaxed structure of LiHgAs2. Source: the Alexandria database, functional PBEsol.

CIF file:
```
data_LiHgAs2
_symmetry_space_group_name_H-M 'I m m 2'
_symmetry_Int_Tables_number 44
_symmetry_space_group_name_Hall 'I 2 -2'
_cell_length_a 3.5758
_cell_length_b 4.2306
_cell_length_c 10.9548
_cell_angle_alpha 90.00
_cell_angle_beta 90.00
_cell_angle_gamma 90.00
loop_
_atom_site_label
_atom_site_type_symbol
_atom_site_fract_x
_atom_site_fract_y
_atom_site_fract_z
Li1 Li 0.0000 0.0000 0.0000
Hg1 Hg 0.0000 0.5000 0.2078
As1 As 0.0000 0.0000 0.4844
As2 As 0.0000 0.5000 0.8239
```

Computed properties:
calculated formation energy = -152.4 meV per atom

---

11.
A relaxed structure of MnAsBr2. Source: the Alexandria database, functional PBEsol.

CIF file:
```
data_MnAsBr2
_symmetry_space_group_name_H-M 'F -4 3 m'
_symmetry_Int_Tables_number 216
_symmetry_space_group_name_Hall 'F -4 2 3'
_cell_length_a 6.8874
_cell_length_b 6.8874
_cell_length_c 6.8874
_cell_angle_alpha 90.00
_cell_angle_beta 90.00
_cell_angle_gamma 90.00
loop_
_atom_site_label
_atom_site_type_symbol
_atom_site_fract_x
_atom_site_fract_y
_atom_site_fract_z
Mn1 Mn 0.0000 0.0000 0.0000
As1 As 0.2500 0.2500 0.2500
Br1 Br 0.0000 0.0000 0.5000
Br2 Br 0.2500 0.2500 0.7500
```

Computed properties:
E_form (uncorrected) = 0.5435 eV/atom
offset from the most stable computed form = 173.3 meV/atom

---

12.
A relaxed structure of LiYCr2H. Source: the Alexandria database, functional PBEsol.

CIF file:
```
data_LiYCr2H
_symmetry_space_group_name_H-M 'P 4/m m m'
_symmetry_Int_Tables_number 123
_symmetry_space_group_name_Hall '-P 4 2'
_cell_length_a 4.9239
_cell_length_b 4.9239
_cell_length_c 5.7226
_cell_angle_alpha 90.00
_cell_angle_beta 90.00
_cell_angle_gamma 90.00
loop_
_atom_site_label
_atom_site_type_symbol
_atom_site_fract_x
_atom_site_fract_y
_atom_site_fract_z
Li1 Li 0.0000 0.0000 0.0000
Y1 Y 0.0000 0.0000 0.5000
Cr1 Cr 0.0000 0.5000 0.5000
H1 H 0.5000 0.5000 0.0000
```

Computed properties:
total DFT energy (no corrections) = -21.10 eV per cell

---

13.
A relaxed structure of CsRb2TiRh. Source: the Alexandria database, functional PBEsol.

CIF file:
```
data_CsRb2TiRh
_symmetry_space_group_name_H-M 'P 4/m m m'
_symmetry_Int_Tables_number 123
_symmetry_space_group_name_Hall '-P 4 2'
_cell_length_a 6.3333
_cell_length_b 6.3333
_cell_length_c 6.2187
_cell_angle_alpha 90.00
_cell_angle_beta 90.00
_cell_angle_gamma 90.00
loop_
_atom_site_label
_atom_site_type_symbol
_atom_site_fract_x
_atom_site_fract_y
_atom_site_fract_z
Cs1 Cs 0.0000 0.0000 0.0000
Rb1 Rb 0.0000 0.5000 0.5000
Ti1 Ti 0.0000 0.0000 0.5000
Rh1 Rh 0.5000 0.5000 0.0000
```

Computed properties:
calculated formation energy = 1796.6 meV per atom

---

14.
A relaxed structure of Na4MgGe2Se6. Source: the Alexandria database, functional PBEsol.

CIF file:
```
data_Na4MgGe2Se6
_symmetry_space_group_name_H-M 'C 1 2 1'
_symmetry_Int_Tables_number 5
_symmetry_space_group_name_Hall 'C 2y'
_cell_length_a 7.7172
_cell_length_b 11.9119
_cell_length_c 7.0691
_cell_angle_alpha 90.00
_cell_angle_beta 106.64
_cell_angle_gamma 90.00
loop_
_atom_site_label
_atom_site_type_symbol
_atom_site_fract_x
_atom_site_fract_y
_atom_site_fract_z
Na1 Na 0.0000 0.0000 0.0000
Na2 Na 0.0000 0.1535 0.5000
Na3 Na 0.0000 0.4592 0.5000
Na4 Na 0.0000 0.8300 0.5000
Mg1 Mg 0.0000 0.6381 0.0000
Ge1 Ge 0.1634 0.3142 0.0573
Se1 Se 0.2240 0.6558 0.7473
Se2 Se 0.2274 0.8023 0.2217
Se3 Se 0.2313 0.4859 0.2356
```

Computed properties:
E_form (uncorrected) = -0.8729 eV/atom

---

15.
A relaxed structure of HPdBr2. Source: the Alexandria database, functional PBEsol.

CIF file:
```
data_HPdBr2
_symmetry_space_group_name_H-M 'I -4 2 d'
_symmetry_Int_Tables_number 122
_symmetry_space_group_name_Hall 'I -4 2bw'
_cell_length_a 5.4495
_cell_length_b 5.4495
_cell_length_c 9.9455
_cell_angle_alpha 90.00
_cell_angle_beta 90.00
_cell_angle_gamma 90.00
loop_
_atom_site_label
_atom_site_type_symbol
_atom_site_fract_x
_atom_site_fract_y
_atom_site_fract_z
H1 H 0.0000 0.0000 0.0000
Pd1 Pd 0.0000 0.0000 0.5000
Br1 Br 0.1887 0.2500 0.1250
```

Computed properties:
offset from the most stable computed form = 0.0 meV/atom

---

16.
A relaxed structure of Mn2ICl2. Source: the Alexandria database, functional PBEsol.

CIF file:
```
data_Mn2ICl2
_symmetry_space_group_name_H-M 'I 4/m m m'
_symmetry_Int_Tables_number 139
_symmetry_space_group_name_Hall '-I 4 2'
_cell_length_a 3.5300
_cell_length_b 3.5300
_cell_length_c 16.4317
_cell_angle_alpha 90.00
_cell_angle_beta 90.00
_cell_angle_gamma 90.00
loop_
_atom_site_label
_atom_site_type_symbol
_atom_site_fract_x
_atom_site_fract_y
_atom_site_fract_z
Mn1 Mn 0.0000 0.5000 0.2500
I1 I 0.0000 0.0000 0.0000
Cl1 Cl 0.0000 0.0000 0.3288
```

Computed properties:
E_form (uncorrected) = 0.0842 eV/atom

---

17.
A relaxed structure of InFeCoO4. Source: the Alexandria database, functional PBEsol.

CIF file:
```
data_InFeCoO4
_symmetry_space_group_name_H-M 'I m m a'
_symmetry_Int_Tables_number 74
_symmetry_space_group_name_Hall '-I 2b 2'
_cell_length_a 5.7139
_cell_length_b 6.1380
_cell_length_c 8.5494
_cell_angle_alpha 90.00
_cell_angle_beta 90.00
_cell_angle_gamma 90.00
loop_
_atom_site_label
_atom_site_type_symbol
_atom_site_fract_x
_atom_site_fract_y
_atom_site_fract_z
In1 In 0.0000 0.0000 0.0000
Fe1 Fe 0.2500 0.2500 0.2500
Co1 Co 0.0000 0.2500 0.6318
O1 O 0.0000 0.0288 0.2542
O2 O 0.2451 0.2500 0.4757
```

Computed properties:
E_form (uncorrected) = -1.0829 eV/atom

---

18.
A relaxed structure of NbCu2SiBi. Source: the Alexandria database, functional PBEsol.

CIF file:
```
data_NbCu2SiBi
_symmetry_space_group_name_H-M 'P 4/m m m'
_symmetry_Int_Tables_number 123
_symmetry_space_group_name_Hall '-P 4 2'
_cell_length_a 4.6581
_cell_length_b 4.6581
_cell_length_c 5.3982
_cell_angle_alpha 90.00
_cell_angle_beta 90.00
_cell_angle_gamma 90.00
loop_
_atom_site_label
_atom_site_type_symbol
_atom_site_fract_x
_atom_site_fract_y
_atom_site_fract_z
Nb1 Nb 0.0000 0.0000 0.0000
Cu1 Cu 0.0000 0.5000 0.5000
Si1 Si 0.5000 0.5000 0.0000
Bi1 Bi 0.5000 0.5000 0.5000
```

Computed properties:
E_form (uncorrected) = 1.6703 eV/atom

---

19.
A relaxed structure of ReAgHg2. Source: the Alexandria database, functional PBEsol.

CIF file:
```
data_ReAgHg2
_symmetry_space_group_name_H-M 'C m m m'
_symmetry_Int_Tables_number 65
_symmetry_space_group_name_Hall '-C 2 2'
_cell_length_a 5.9967
_cell_length_b 8.1858
_cell_length_c 2.8400
_cell_angle_alpha 90.00
_cell_angle_beta 90.00
_cell_angle_gamma 90.00
loop_
_atom_site_label
_atom_site_type_symbol
_atom_site_fract_x
_atom_site_fract_y
_atom_site_fract_z
Re1 Re 0.0000 0.0000 0.0000
Ag1 Ag 0.0000 0.5000 0.0000
Hg1 Hg 0.2500 0.2500 0.5000
```

Computed properties:
calculated formation energy = 537.2 meV per atom
offset from the most stable computed form = 58.4 meV/atom

---

20.
A relaxed structure of LiSb2PdS. Source: the Alexandria database, functional PBEsol.

CIF file:
```
data_LiSb2PdS
_symmetry_space_group_name_H-M 'P 4/m m m'
_symmetry_Int_Tables_number 123
_symmetry_space_group_name_Hall '-P 4 2'
_cell_length_a 5.0544
_cell_length_b 5.0544
_cell_length_c 4.5523
_cell_angle_alpha 90.00
_cell_angle_beta 90.00
_cell_angle_gamma 90.00
loop_
_atom_site_label
_atom_site_type_symbol
_atom_site_fract_x
_atom_site_fract_y
_atom_site_fract_z
Li1 Li 0.0000 0.0000 0.0000
Sb1 Sb 0.0000 0.5000 0.5000
Pd1 Pd 0.0000 0.0000 0.5000
S1 S 0.5000 0.5000 0.0000
```

Computed properties:
E_form (uncorrected) = 0.1062 eV/atom

---

no.,magnetization (μB per atom)
1,0.000
2,0.000
3,0.558
4,0.000
5,0.142
6,0.712
7,0.000
8,1.011
9,0.000
10,0.000
11,0.798
12,1.466
13,1.078
14,0.000
15,0.000
16,0.014
17,0.571
18,0.488
19,0.000
20,0.000